Material: Hf2MgSb
Method: DFT, GGA-PBE
State: relaxed

Unit cell a=4.971 b=4.971 c=4.971 alpha=60.00 beta=60.00 gamma=60.00
Site moments in Bohr magnetons follow the coordinates.
Atoms (fractional coordinates):
Hf: 0.750 0.750 0.750  0.46
Sb: 0.500 0.500 0.500  -0.03
Hf: 0.000 0.000 0.000  0.61
Mg: 0.250 0.250 0.250  0.00

## Properties
Space-group type: F-43m (216)
Total energy: -6.177 eV/atom
Magnetic moment: 1.47 μB per formula unit